A plane-wave DFT calculation with PBE was carried out for SrLaAs2 after structural relaxation.

Structure (POSCAR):
```
SrLaAs2
1.0
5.7892 -2.1108 0.0000
5.7892 2.1108 0.0000
-0.4772 0.0000 4.6353
Sr La As
1 1 2
Cartesian
0.0000 0.0000 0.0000
8.4075 0.0000 2.3900
3.0667 0.0000 0.1818
5.2483 0.0000 2.2444
```

Results
Total magnetization = 0.000 μB/f.u.
ΔE to the lowest computed polymorph = 0.085 eV/atom

***

A plane-wave DFT calculation with PBE was carried out for SrLaAs2 after structural relaxation.

Structure (POSCAR):
```
SrLaAs2
1.0
2.1906 1.2647 7.5512
-2.1906 1.2647 7.5512
0.0000 -2.5294 7.5512
Sr La As
1 1 2
Cartesian
0.0000 0.0000 0.0000
0.0000 0.0000 18.7454
0.0000 0.0000 5.4490
0.0000 0.0000 9.4933
```

Results
Total magnetization = 0.000 μB/f.u.
ΔE to the lowest computed polymorph = 0.072 eV/atom

***

A plane-wave DFT calculation with PBE was carried out for SrLaAs2 after structural relaxation.

Structure (POSCAR):
```
SrLaAs2
1.0
4.4183 0.0000 0.0000
0.0000 6.2492 0.0000
0.0000 0.0000 4.4206
Sr La As
1 1 2
Cartesian
0.0000 0.0000 0.0000
2.2092 3.1246 2.2049
0.0000 3.1246 4.4145
2.2092 0.0000 2.2109
```

Results
Total magnetization = 0.000 μB/f.u.
ΔE to the lowest computed polymorph = 0.028 eV/atom

***

A plane-wave DFT calculation with PBE was carried out for Sr2LaAs after structural relaxation.

Structure (POSCAR):
```
Sr2LaAs
1.0
3.9089 0.0000 0.0000
0.0000 3.9089 0.0000
0.0000 0.0000 10.2524
Sr La As
2 1 1
Cartesian
0.0000 0.0000 0.0000
1.9544 1.9544 3.4869
1.9544 1.9544 6.8694
0.0000 0.0000 5.4968
```

Results
Total magnetization = 0.000 μB/f.u.

***

A plane-wave DFT calculation with PBE was carried out for Sr2LaAs after structural relaxation.

Structure (POSCAR):
```
Sr2LaAs
1.0
-5.3875 5.3875 2.9858
5.3875 -5.3875 2.9858
5.3875 5.3875 -2.9858
Sr La As
4 2 2
Cartesian
8.0812 1.3818 -0.7465
1.3818 2.6937 0.7465
-2.6937 4.0057 2.2394
4.0057 2.6937 3.7323
5.3875 0.0000 1.4929
0.0000 0.0000 2.9858
0.0000 0.0000 0.0000
0.0000 5.3875 1.4929
```

Results
Total magnetization = 0.000 μB/f.u.

***

A plane-wave DFT calculation with PBE was carried out for Sr2La2As after structural relaxation.

Structure (POSCAR):
```
Sr2La2As
1.0
8.0017 0.0000 0.0000
0.0000 8.0017 0.0000
0.0000 0.0000 6.4030
Sr La As
4 4 2
Cartesian
1.3350 2.6659 0.0000
2.6659 6.6667 0.0000
5.3358 1.3350 0.0000
6.6667 5.3358 0.0000
1.2345 5.2353 3.2015
2.7664 1.2345 3.2015
5.2353 6.7672 3.2015
6.7672 2.7664 3.2015
0.0000 0.0000 3.2015
4.0008 4.0008 3.2015
```

Results
Total magnetization = 1.176 μB/f.u.

***

A plane-wave DFT calculation with PBE was carried out for Sr2LaAs after structural relaxation.

Structure (POSCAR):
```
Sr2LaAs
1.0
-2.3812 2.3812 6.0532
2.3812 -2.3812 6.0532
2.3812 2.3812 -6.0532
Sr La As
2 1 1
Cartesian
2.3812 0.0000 3.0266
0.0000 2.3812 3.0266
0.0000 0.0000 0.0000
0.0000 0.0000 6.0532
```

Results
Total magnetization = 0.000 μB/f.u.

***

A plane-wave DFT calculation with PBE was carried out for SrLaAs4 after structural relaxation.

Structure (POSCAR):
```
SrLaAs4
1.0
0.0000 4.1464 4.1464
4.1464 0.0000 4.1464
4.1464 4.1464 0.0000
Sr La As
1 1 4
Cartesian
0.0000 0.0000 0.0000
2.0732 2.0732 2.0732
5.1865 3.1063 3.1063
3.1063 5.1865 3.1063
3.1063 3.1063 5.1865
5.1865 5.1865 5.1865
```

Results
Total magnetization = 0.000 μB/f.u.

***

A plane-wave DFT calculation with PBE was carried out for SrLaAs2 after structural relaxation.

Structure (POSCAR):
```
SrLaAs2
1.0
3.3408 0.0000 0.0000
0.0000 3.9817 0.0000
0.0000 0.0000 7.9750
Sr La As
1 1 2
Cartesian
0.0000 0.0000 0.0000
0.0000 0.0000 3.9875
1.6704 1.9908 2.0556
1.6704 1.9908 5.9194
```

Results
Total magnetization = 0.000 μB/f.u.
ΔE to the lowest computed polymorph = 0.131 eV/atom

***

A plane-wave DFT calculation with PBE was carried out for Sr2LaAs after structural relaxation.

Structure (POSCAR):
```
Sr2LaAs
1.0
4.9504 0.0000 0.0000
0.0000 4.9504 0.0000
0.0000 0.0000 5.2731
Sr La As
2 1 1
Cartesian
0.0000 2.4752 0.0000
2.4752 0.0000 0.0000
0.0000 0.0000 2.6365
2.4752 2.4752 2.6365
```

Results
Total magnetization = 0.563 μB/f.u.

***

A plane-wave DFT calculation with PBE was carried out for Sr2LaAs after structural relaxation.

Structure (POSCAR):
```
Sr2LaAs
1.0
0.0000 4.0522 4.0522
4.0522 0.0000 4.0522
4.0522 4.0522 0.0000
Sr La As
2 1 1
Cartesian
0.0000 0.0000 0.0000
2.0261 2.0261 2.0261
6.0783 6.0783 6.0783
4.0522 4.0522 4.0522
```

Results
Total magnetization = 0.019 μB/f.u.

***

A plane-wave DFT calculation with PBE was carried out for Sr2LaAs after structural relaxation.

Structure (POSCAR):
```
Sr2LaAs
1.0
2.9937 -6.9072 0.0000
2.9937 6.9072 0.0000
0.0000 0.0000 4.3143
Sr La As
2 1 1
Cartesian
2.9937 4.7467 0.0000
2.9937 -4.7467 0.0000
2.9937 0.0000 2.1572
0.0000 0.0000 2.1572
```

Results
Total magnetization = 0.000 μB/f.u.

***

no.,theoretical density (g/cm3),energy of formation (kJ/mol of formula units),DOS(E_F) (states/eV/f.u.)
1,5.52,-429,2.36
2,4.98,-434,4.55
3,5.12,-451,4.62
4,4.12,-223,3.32
5,3.73,-151,3.92
6,4.28,-135,4.40
7,4.71,-113,3.36
8,6.13,-299,2.87
9,5.89,-412,1.17
10,5.00,-113,4.48
11,4.85,-33,5.66
12,3.62,-195,4.92